1.
The following is a DFT calculation (PBE) of a relaxed Y2AlPb crystal.

Results
Total energy ... -22.0 eV per cell
D(E_F) ... 1.83 states/eV per cell

Lattice parameters (Å, degrees): 6.272 6.272 6.272 141.99 135.34 60.05
Element x y z (fractional)
Y (0.000, 0.000, 0.000)
Y (0.741, 0.241, 0.500)
Al (0.265, 0.765, 0.500)
Pb (0.474, 0.474, 0.000)


2.
The following is a DFT calculation (PBE) of a relaxed YAl2Pb crystal.

Results
Total energy ... -18.1 eV per cell
D(E_F) ... 2.36 states/eV per cell

Lattice parameters (Å, degrees): 3.263 5.000 5.841 90.00 90.00 90.00
Element x y z (fractional)
Y (0.000, 0.000, 0.000)
Al (0.500, 0.500, 0.227)
Al (0.500, 0.500, 0.773)
Pb (0.500, 0.000, 0.500)


3.
The following is a DFT calculation (PBE) of a relaxed Y2AlPb2 crystal.

Results
Total energy ... -51.3 eV per cell
Relative energy among the computed polymorphs ... 0.00 eV/f.u.
D(E_F) ... 6.73 states/eV per cell

Lattice parameters (Å, degrees): 7.699 7.699 4.601 90.00 90.00 90.00
Element x y z (fractional)
Y (0.170, 0.330, 0.000)
Y (0.330, 0.830, 0.000)
Y (0.670, 0.170, 0.000)
Y (0.830, 0.670, 0.000)
Al (0.000, 0.000, 0.500)
Al (0.500, 0.500, 0.500)
Pb (0.141, 0.641, 0.500)
Pb (0.359, 0.141, 0.500)
Pb (0.641, 0.859, 0.500)
Pb (0.859, 0.359, 0.500)


4.
The following is a DFT calculation (PBE) of a relaxed Y2AlPb crystal.

Results
Total energy ... -41.6 eV per cell
D(E_F) ... 5.47 states/eV per cell

Lattice parameters (Å, degrees): 6.716 6.716 6.716 104.59 104.59 119.75
Element x y z (fractional)
Y (0.116, 0.625, 0.991)
Y (0.375, 0.366, 0.491)
Y (0.634, 0.125, 0.009)
Y (0.875, 0.884, 0.509)
Al (0.000, 0.000, 0.000)
Al (0.750, 0.250, 0.500)
Pb (0.250, 0.750, 0.500)
Pb (0.500, 0.500, 0.000)


5.
The following is a DFT calculation (PBE) of a relaxed YAlPb2 crystal.

Results
Total energy ... -18.0 eV per cell
D(E_F) ... 2.16 states/eV per cell

Lattice parameters (Å, degrees): 3.407 5.248 6.006 90.00 91.68 90.00
Element x y z (fractional)
Y (0.000, 0.000, 0.000)
Al (0.500, 0.000, 0.500)
Pb (0.363, 0.500, 0.749)
Pb (0.637, 0.500, 0.251)


6.
The following is a DFT calculation (PBE) of a relaxed YAl3Pb crystal.

Results
Total energy ... -16.9 eV per cell
Relative energy among the computed polymorphs ... 0.64 eV/f.u.
D(E_F) ... 3.89 states/eV per cell

Lattice parameters (Å, degrees): 5.486 5.486 5.486 90.00 90.00 90.00
Element x y z (fractional)
Y (0.000, 0.000, 0.000)
Al (0.000, 0.000, 0.500)
Al (0.000, 0.500, 0.000)
Al (0.500, 0.000, 0.000)
Pb (0.500, 0.500, 0.500)


7.
The following is a DFT calculation (PBE) of a relaxed YAlPb2 crystal.

Results
Total energy ... -17.7 eV per cell
D(E_F) ... 2.26 states/eV per cell

Lattice parameters (Å, degrees): 9.930 9.930 9.930 20.87 20.87 20.87
Element x y z (fractional)
Y (0.000, 0.000, 0.000)
Al (0.500, 0.500, 0.500)
Pb (0.242, 0.242, 0.242)
Pb (0.758, 0.758, 0.758)


8.
The following is a DFT calculation (PBE) of a relaxed YAl2Pb crystal.

Results
Total energy ... -17.3 eV per cell
D(E_F) ... 3.12 states/eV per cell

Lattice parameters (Å, degrees): 9.682 9.682 9.682 20.96 20.96 20.96
Element x y z (fractional)
Y (0.000, 0.000, 0.000)
Al (0.248, 0.248, 0.248)
Al (0.752, 0.752, 0.752)
Pb (0.500, 0.500, 0.500)


9.
The following is a DFT calculation (PBE) of a relaxed Al2Zn2Pb crystal.

Results
Total energy ... -13.3 eV per cell
Relative energy among the computed polymorphs ... 0.00 eV/f.u.
D(E_F) ... 1.67 states/eV per cell

Lattice parameters (Å, degrees): 6.607 6.607 6.607 143.87 143.87 52.03
Element x y z (fractional)
Al (0.250, 0.750, 0.500)
Al (0.750, 0.250, 0.500)
Zn (0.107, 0.107, 0.000)
Zn (0.893, 0.893, 0.000)
Pb (0.500, 0.500, 0.000)


10.
The following is a DFT calculation (PBE) of a relaxed Al2ZnPb2 crystal.

Results
Total energy ... -30.5 eV per cell
Relative energy among the computed polymorphs ... 0.00 eV/f.u.
D(E_F) ... 4.14 states/eV per cell

Lattice parameters (Å, degrees): 6.891 6.891 4.986 90.00 90.00 90.00
Element x y z (fractional)
Al (0.138, 0.362, 0.000)
Al (0.362, 0.862, 0.000)
Al (0.638, 0.138, 0.000)
Al (0.862, 0.638, 0.000)
Zn (0.000, 0.000, 0.000)
Zn (0.500, 0.500, 0.000)
Pb (0.176, 0.676, 0.500)
Pb (0.324, 0.176, 0.500)
Pb (0.676, 0.824, 0.500)
Pb (0.824, 0.324, 0.500)


11.
The following is a DFT calculation (PBE) of a relaxed Al2ZnPb2 crystal.

Results
Total energy ... -28.8 eV per cell
Relative energy among the computed polymorphs ... 0.86 eV/f.u.
D(E_F) ... 4.29 states/eV per cell

Lattice parameters (Å, degrees): 8.596 8.596 3.436 90.00 90.00 90.00
Element x y z (fractional)
Al (0.113, 0.387, 0.000)
Al (0.387, 0.887, 0.000)
Al (0.613, 0.113, 0.000)
Al (0.887, 0.613, 0.000)
Zn (0.000, 0.000, 0.500)
Zn (0.500, 0.500, 0.500)
Pb (0.183, 0.683, 0.500)
Pb (0.317, 0.183, 0.500)
Pb (0.683, 0.817, 0.500)
Pb (0.817, 0.317, 0.500)


12.
The following is a DFT calculation (PBE) of a relaxed Al3ZnPb crystal.

Results
Total energy ... -14.1 eV per cell
Relative energy among the computed polymorphs ... 0.00 eV/f.u.
D(E_F) ... 2.92 states/eV per cell

Lattice parameters (Å, degrees): 4.853 4.853 4.853 90.00 90.00 90.00
Element x y z (fractional)
Al (0.000, 0.000, 0.500)
Al (0.000, 0.500, 0.000)
Al (0.500, 0.000, 0.000)
Zn (0.000, 0.000, 0.000)
Pb (0.500, 0.500, 0.500)


13.
The following is a DFT calculation (PBE) of a relaxed Al2ZnPb2 crystal.

Results
Total energy ... -15.0 eV per cell
Relative energy among the computed polymorphs ... 0.29 eV/f.u.
D(E_F) ... 1.98 states/eV per cell

Lattice parameters (Å, degrees): 8.839 8.839 8.839 154.73 154.73 36.04
Element x y z (fractional)
Al (0.250, 0.750, 0.500)
Al (0.750, 0.250, 0.500)
Zn (0.000, 0.000, 0.000)
Pb (0.393, 0.393, 0.000)
Pb (0.607, 0.607, 0.000)


14.
The following is a DFT calculation (PBE) of a relaxed Al2Zn2Pb crystal.

Results
Total energy ... -25.7 eV per cell
Relative energy among the computed polymorphs ... 0.46 eV/f.u.
D(E_F) ... 5.29 states/eV per cell

Lattice parameters (Å, degrees): 7.845 7.845 3.201 90.00 90.00 90.00
Element x y z (fractional)
Al (0.170, 0.330, 0.000)
Al (0.330, 0.830, 0.000)
Al (0.670, 0.170, 0.000)
Al (0.830, 0.670, 0.000)
Zn (0.124, 0.624, 0.500)
Zn (0.376, 0.124, 0.500)
Zn (0.624, 0.876, 0.500)
Zn (0.876, 0.376, 0.500)
Pb (0.000, 0.000, 0.500)
Pb (0.500, 0.500, 0.500)